Entry 1:
The following is a GGA-PBE calculation of an optimized crystal structure of Y3TaW, from Alexandria.

a b c (Å): 5.301 5.301 5.301
angles (deg): 90.00 90.00 90.00
Space group Pm-3m (No. 221)
Symmetry-distinct sites (fractional):
Y 0.000 0.000 0.500 [3 per cell]
Ta 0.500 0.500 0.500 [1 per cell]
W 0.000 0.000 0.000 [1 per cell]

Results
Spin magnetization in μB/cell: 0.00
Crystal system: cubic
Volume in Å³ per cell: 149
Formation enthalpy at 0 K in eV/atom: 1.311
DOS(E_F) in states/eV/atom: 2.093
Distance to the lowest polymorph of the same formula in meV/atom: 0.0

Entry 2:
The following is a GGA-PBE calculation of an optimized crystal structure of YTa2W, from Alexandria.

a b c (Å): 3.1675 3.1675 28.1357
angles (deg): 90.00 90.00 120.00
Space group R3m (No. 160, hexagonal axes)
Symmetry-distinct sites (fractional):
Y 0.0000 0.0000 0.0000 [3 per cell]
Ta 0.0000 0.0000 0.2371 [3 per cell]
Ta 0.0000 0.0000 0.4926 [3 per cell]
W 0.0000 0.0000 0.7559 [3 per cell]

Results
Spin magnetization in μB/cell: 0.00
Crystal system: trigonal
Volume in Å³ per cell: 244
Formation enthalpy at 0 K in eV/atom: 0.507
DOS(E_F) in states/eV/atom: 1.105
Distance to the lowest polymorph of the same formula in meV/atom: 257.2

Entry 3:
The following is a GGA-PBE calculation of an optimized crystal structure of YTaZnW2, from Alexandria.

a b c (Å): 4.862 4.862 4.892
angles (deg): 90.00 90.00 90.00
Space group P4/mmm (No. 123)
Symmetry-distinct sites (fractional):
Y 0.000 0.000 0.000 [1 per cell]
Ta 0.000 0.000 0.500 [1 per cell]
Zn 0.500 0.500 0.500 [1 per cell]
W 0.000 0.500 0.000 [2 per cell]

Results
Spin magnetization in μB/cell: 0.00
Crystal system: tetragonal
Volume in Å³ per cell: 116
Formation enthalpy at 0 K in eV/atom: 2.838
DOS(E_F) in states/eV/atom: 1.293

Entry 4:
The following is a GGA-PBE calculation of an optimized crystal structure of TaZnW4, from Alexandria.

a b c (Å): 7.462 7.462 7.462
angles (deg): 90.00 90.00 90.00
Space group F-43m (No. 216)
Symmetry-distinct sites (fractional):
Ta 0.000 0.000 0.000 [4 per cell]
Zn 0.250 0.250 0.750 [4 per cell]
W 0.124 0.124 0.376 [16 per cell]

Results
Spin magnetization in μB/cell: 0.00
Crystal system: cubic
Volume in Å³ per cell: 415
Formation enthalpy at 0 K in eV/atom: 0.349
DOS(E_F) in states/eV/atom: 0.923

Entry 5:
The following is a GGA-PBE calculation of an optimized crystal structure of Ta3ZnW, from Alexandria.

a b c (Å): 4.867 4.867 4.867
angles (deg): 90.00 90.00 90.00
Space group Pm-3m (No. 221)
Symmetry-distinct sites (fractional):
Ta 0.000 0.000 0.500 [3 per cell]
Zn 0.500 0.500 0.500 [1 per cell]
W 0.000 0.000 0.000 [1 per cell]

Results
Spin magnetization in μB/cell: 0.00
Crystal system: cubic
Volume in Å³ per cell: 115
Formation enthalpy at 0 K in eV/atom: 1.567
DOS(E_F) in states/eV/atom: 0.700
Distance to the lowest polymorph of the same formula in meV/atom: 23.4

Entry 6:
The following is a GGA-PBE calculation of an optimized crystal structure of TaZn3W, from Alexandria.

a b c (Å): 4.690 4.690 4.690
angles (deg): 90.00 90.00 90.00
Space group Pm-3m (No. 221)
Symmetry-distinct sites (fractional):
Ta 0.000 0.000 0.000 [1 per cell]
Zn 0.000 0.500 0.500 [3 per cell]
W 0.500 0.500 0.500 [1 per cell]

Results
Spin magnetization in μB/cell: 0.00
Crystal system: cubic
Volume in Å³ per cell: 103
Formation enthalpy at 0 K in eV/atom: 1.651
DOS(E_F) in states/eV/atom: 0.933
Distance to the lowest polymorph of the same formula in meV/atom: 0.0

Entry 7:
The following is a GGA-PBE calculation of an optimized crystal structure of Ta3ZnW, from Alexandria.

a b c (Å): 4.625 4.625 4.625
angles (deg): 90.00 90.00 90.00
Space group Pm-3m (No. 221)
Symmetry-distinct sites (fractional):
Ta 0.000 0.000 0.500 [3 per cell]
Zn 0.000 0.000 0.000 [1 per cell]
W 0.500 0.500 0.500 [1 per cell]

Results
Spin magnetization in μB/cell: 0.00
Crystal system: cubic
Volume in Å³ per cell: 99
Formation enthalpy at 0 K in eV/atom: 1.544
DOS(E_F) in states/eV/atom: 0.916
Distance to the lowest polymorph of the same formula in meV/atom: 0.0

Entry 8:
The following is a GGA-PBE calculation of an optimized crystal structure of Ta4ZnW, from Alexandria.

a b c (Å): 7.619 7.619 7.619
angles (deg): 90.00 90.00 90.00
Space group F-43m (No. 216)
Symmetry-distinct sites (fractional):
Ta 0.124 0.124 0.376 [16 per cell]
Zn 0.000 0.000 0.000 [4 per cell]
W 0.250 0.250 0.750 [4 per cell]

Results
Spin magnetization in μB/cell: 0.00
Crystal system: cubic
Volume in Å³ per cell: 442
Formation enthalpy at 0 K in eV/atom: 0.553
DOS(E_F) in states/eV/atom: 0.979

Entry 9:
The following is a GGA-PBE calculation of an optimized crystal structure of TaZn4W, from Alexandria.

a b c (Å): 7.026 7.026 7.026
angles (deg): 90.00 90.00 90.00
Space group F-43m (No. 216)
Symmetry-distinct sites (fractional):
Ta 0.000 0.000 0.000 [4 per cell]
Zn 0.125 0.125 0.625 [16 per cell]
W 0.250 0.250 0.250 [4 per cell]

Results
Spin magnetization in μB/cell: 0.00
Crystal system: cubic
Volume in Å³ per cell: 347
Formation enthalpy at 0 K in eV/atom: 0.011
DOS(E_F) in states/eV/atom: 0.563

Entry 10:
The following is a GGA-PBE calculation of an optimized crystal structure of ZrTa2W, from Alexandria.

a b c (Å): 3.293 3.293 6.901
angles (deg): 90.00 90.00 90.00
Space group P4mm (No. 99)
Symmetry-distinct sites (fractional):
Zr 0.000 0.000 0.000 [1 per cell]
Ta 0.000 0.000 0.522 [1 per cell]
Ta 0.500 0.500 0.277 [1 per cell]
W 0.500 0.500 0.741 [1 per cell]

Results
Spin magnetization in μB/cell: 0.00
Crystal system: tetragonal
Volume in Å³ per cell: 75
Formation enthalpy at 0 K in eV/atom: 0.086
DOS(E_F) in states/eV/atom: 1.559
Distance to the lowest polymorph of the same formula in meV/atom: 44.4

Entry 11:
The following is a GGA-PBE calculation of an optimized crystal structure of ZrTaW2, from Alexandria.

a b c (Å): 3.287 4.670 9.281
angles (deg): 90.00 90.00 90.00
Space group Cmmm (No. 65)
Symmetry-distinct sites (fractional):
Zr 0.000 0.000 0.000 [2 per cell]
Ta 0.000 0.000 0.500 [2 per cell]
W 0.000 0.500 0.260 [4 per cell]

Results
Spin magnetization in μB/cell: 0.00
Crystal system: orthorhombic
Volume in Å³ per cell: 142
Formation enthalpy at 0 K in eV/atom: 0.083
DOS(E_F) in states/eV/atom: 1.193
Distance to the lowest polymorph of the same formula in meV/atom: 40.2

Entry 12:
The following is a GGA-PBE calculation of an optimized crystal structure of ZrTaW2, from Alexandria.

a b c (Å): 2.757 4.778 5.527
angles (deg): 90.00 90.00 90.00
Space group Pmm2 (No. 25)
Symmetry-distinct sites (fractional):
Zr 0.000 0.000 0.000 [1 per cell]
Ta 0.500 0.500 0.257 [1 per cell]
W 0.000 0.000 0.503 [1 per cell]
W 0.500 0.500 0.744 [1 per cell]

Results
Spin magnetization in μB/cell: 0.00
Crystal system: orthorhombic
Volume in Å³ per cell: 73
Formation enthalpy at 0 K in eV/atom: 0.321
DOS(E_F) in states/eV/atom: 0.961
Distance to the lowest polymorph of the same formula in meV/atom: 278.6

Entry 13:
The following is a GGA-PBE calculation of an optimized crystal structure of ZrTa2W, from Alexandria.

a b c (Å): 3.301 4.781 9.491
angles (deg): 90.00 90.00 90.00
Space group Immm (No. 71)
Symmetry-distinct sites (fractional):
Zr 0.000 0.000 0.000 [2 per cell]
Ta 0.000 0.500 0.234 [4 per cell]
W 0.000 0.000 0.500 [2 per cell]

Results
Spin magnetization in μB/cell: 0.00
Crystal system: orthorhombic
Volume in Å³ per cell: 150
Formation enthalpy at 0 K in eV/atom: 0.046
DOS(E_F) in states/eV/atom: 1.080
Distance to the lowest polymorph of the same formula in meV/atom: 4.4

Entry 14:
The following is a GGA-PBE calculation of an optimized crystal structure of ZrTa2W, from Alexandria.

a b c (Å): 5.536 9.666 2.811
angles (deg): 90.00 90.00 90.00
Space group Cmmm (No. 65)
Symmetry-distinct sites (fractional):
Zr 0.000 0.000 0.000 [2 per cell]
Ta 0.250 0.250 0.500 [4 per cell]
W 0.000 0.500 0.000 [2 per cell]

Results
Spin magnetization in μB/cell: 0.00
Crystal system: orthorhombic
Volume in Å³ per cell: 150
Formation enthalpy at 0 K in eV/atom: 0.278
DOS(E_F) in states/eV/atom: 1.359
Distance to the lowest polymorph of the same formula in meV/atom: 236.4

Entry 15:
The following is a GGA-PBE calculation of an optimized crystal structure of ZrTaW2, from Alexandria.

a b c (Å): 3.1090 3.1090 26.3814
angles (deg): 90.00 90.00 120.00
Space group R-3m (No. 166, hexagonal axes)
Symmetry-distinct sites (fractional):
Zr 0.0000 0.0000 0.0000 [3 per cell]
Ta 0.0000 0.0000 0.5000 [3 per cell]
W 0.0000 0.0000 0.2455 [6 per cell]

Results
Spin magnetization in μB/cell: 0.00
Crystal system: trigonal
Volume in Å³ per cell: 221
Formation enthalpy at 0 K in eV/atom: 0.383
DOS(E_F) in states/eV/atom: 1.002
Distance to the lowest polymorph of the same formula in meV/atom: 339.8